# BaOsPt2

A geometry-optimized BaOsPt2 structure (GGA-PBE, Alexandria via LeMat-Bulk).

Summary:
- energy (eV/atom) = -6.016
- calculated density (Mg/m³) = 13.927
- space group = Pm (6)
- ΔE_f (eV per atom) = 0.29

Cell lengths 4.429, 2.919, 6.849 Å; angles 75.09, 90.00, 90.00 degrees
Element x y z (fractional)
Pt  0.500  0.074  0.202
Pt  0.000  0.237  0.954
Os  0.500  0.780  0.862
Ba  0.000  0.410  0.482